Computed, not measured: a relaxed structure of LaCe2Ni at the PBE level of DFT.

Lattice parameters (Å, degrees): 3.5425 3.5425 8.1803 90.00 90.00 90.00
Atoms (fractional coordinates):
La  0.0000  0.0000  0.0000
Ce  0.5000  0.5000  0.3191
Ce  0.5000  0.5000  0.6809
Ni  0.0000  0.0000  0.5000

Properties
DFT total energy in eV per atom: -5.727
E above lowest polymorph in eV per atom: 0.000
DOS(E_F) in states/eV/cell: 9.18